(1)
This record from the Alexandria database describes a relaxed SmDy6YHo2 crystal. The functional is PBE.

Geometry as POSCAR:
```
SmDy6YHo2
1.0
-5.218 7.330 3.211
-6.757 -3.760 -4.146
2.006 -2.864 8.048
Dy Ho Y Sm
12 4 2 2
Direct
0.056 0.122 0.751 Dy
0.444 0.249 0.878 Dy
0.880 0.291 0.507 Dy
0.620 0.493 0.709 Dy
0.380 0.507 0.291 Dy
0.556 0.751 0.122 Dy
0.318 0.980 0.433 Dy
0.944 0.878 0.249 Dy
0.818 0.433 0.980 Dy
0.182 0.567 0.020 Dy
0.120 0.709 0.493 Dy
0.682 0.020 0.567 Dy
0.045 0.303 0.198 Ho
0.955 0.697 0.802 Ho
0.545 0.198 0.303 Ho
0.455 0.802 0.697 Ho
0.250 0.409 0.591 Y
0.750 0.591 0.409 Y
0.750 0.025 0.975 Sm
0.250 0.975 0.025 Sm
```

Values from the calculation:
Total magnetic moment in μB per formula unit: 0.0
ΔH_f (0 K) in eV per atom: 0.118

(2)
This record from the Alexandria database describes a relaxed Pr3Tm2Pb6 crystal. The functional is PBE.

Geometry as POSCAR:
```
Pr3Tm2Pb6
1.0
5.866 0.000 0.000
0.000 5.866 0.000
-2.933 -2.933 11.368
Pb Pr Tm
6 3 2
Direct
0.922 0.422 0.845 Pb
0.422 0.922 0.845 Pb
0.078 0.578 0.155 Pb
0.296 0.296 0.593 Pb
0.578 0.078 0.155 Pb
0.704 0.704 0.407 Pb
0.000 0.000 0.000 Pr
0.156 0.156 0.312 Pr
0.844 0.844 0.688 Pr
0.427 0.427 0.853 Tm
0.573 0.573 0.147 Tm
```

Values from the calculation:
Total magnetic moment in μB per formula unit: 0.0
ΔH_f (0 K) in eV per atom: -0.145

(3)
This record from the Alexandria database describes a relaxed Mg3ZrCd2 crystal. The functional is PBE.

Geometry as POSCAR:
```
Mg3ZrCd2
1.0
-1.172 1.962 -2.317
-2.438 0.873 1.972
6.819 9.212 4.351
Mg Cd Zr
3 2 1
Direct
0.000 0.000 0.000 Mg
0.000 0.000 0.675 Mg
0.000 0.000 0.325 Mg
0.500 0.500 0.838 Cd
0.500 0.500 0.162 Cd
0.500 0.500 0.500 Zr
```

Values from the calculation:
Total magnetic moment in μB per formula unit: 0.0
ΔH_f (0 K) in eV per atom: -0.071